(1)
Computed, not measured: crystalline TaCo2MoH at its relaxed geometry at the GGA-PBE level of DFT.

Results
* energy relative to the lowest polymorph listed for this composition: 0.0 meV/atom

```
TaCo2MoH
1.0
3.7732 0.0000 0.0000
0.0000 3.7732 0.0000
0.0000 0.0000 3.9365
Ta Co Mo H
1 2 1 1
direct
0.0000 0.0000 0.0000
0.0000 0.5000 0.5000
0.5000 0.0000 0.5000
0.5000 0.5000 0.0000
0.5000 0.5000 0.5000
```

(2)
Computed, not measured: crystalline RbBa2SnS4 at its relaxed geometry at the GGA-PBE level of DFT.

Results
* formation energy from raw total energies: -1.23 eV per atom

```
RbBa2SnS4
1.0
-4.4120 4.4985 6.2449
4.4120 -4.4985 6.2449
4.4120 4.4985 -6.2449
Rb Ba Sn S
2 4 2 8
direct
0.5000 0.0000 0.0000
0.5000 0.5000 0.5000
0.0000 0.0000 0.0000
0.0000 0.0000 0.5000
0.0000 0.5000 0.0000
0.5000 0.0000 0.5000
0.0000 0.5000 0.5000
0.5000 0.5000 0.0000
0.2096 0.7191 0.4904
0.2470 0.2610 0.5140
0.2470 0.7329 0.9860
0.2713 0.2809 0.9904
0.7287 0.7191 0.0096
0.7530 0.2671 0.0140
0.7530 0.7390 0.4860
0.7904 0.2809 0.5096
```

For each record above, in turn, the calculated DFT total energy values are -8.120, -4.398 eV per atom.